Density functional theory data (GGA+U) for an optimized crystal structure of AcGeMo2O8.

Lattice parameters (Å, degrees): 4.7426 4.8920 7.1769 86.08 89.02 85.16
Last column: nearest neighbours and their distance in Å.
Space group P-1 (No. 2)
Inequivalent atoms, fractional coordinates:
Ac (0.0000, 0.0000, 0.0000) [1 per cell]  6 O 2.45-2.57
Ge (0.0000, 0.0000, 0.5000) [1 per cell]  4 O 1.85-1.92
Mo (0.4692, 0.4662, 0.6979) [2 per cell]  5 O 1.87-2.09
O (0.1794, 0.8051, 0.3132) [2 per cell]  1 Ge 1.85, 1 Mo 2.04
O (0.1879, 0.7836, 0.7010) [2 per cell]  1 Ge 1.92, 1 Mo 1.96
O (0.3072, 0.2844, 0.4894) [2 per cell]  2 Mo 1.99-2.09, 1 Ge 2.09
O (0.3912, 0.2883, 0.9290) [2 per cell]  1 Mo 1.87

Calculated values
Magnetization ... 1.009 μB/f.u.
Electronic total energy ... -7.06 eV per atom
Calculated volume ... 13.793 A^3/atom